Below is a relaxed KCaIO2 crystal, with properties calculated at the PBE level.

Summary:
DFT total energy   -19.6 eV/cell
D(E_F)   2.781 states/eV/atom
Space-group type   P4/mmm
Formation energy (no corrections)   -97.54 kJ per mole of atoms
Energy above the lowest structure with this stoichiometry   0.000 eV per formula unit

extended XYZ file:
```
5
Lattice="4.649 0.000 0.000 0.000 4.649 0.000 0.000 0.000 6.406" Properties=species:S:1:pos:R:3 pbc="T T T"
K 0.000 0.000 0.000
Ca 2.324 2.324 3.203
I 2.324 2.324 0.000
O 0.000 2.324 3.203
O 2.324 0.000 3.203
```

Below is a relaxed ZrTlV crystal, with properties calculated at the PBE level.

Summary:
DFT total energy   -18.4 eV/cell
D(E_F)   1.235 states/eV/atom
Calculated formation energy   0.56 eV/atom
Space-group type   R3m

extended XYZ file:
```
3
Lattice="2.561 1.479 2.860 -2.561 1.479 2.860 0.000 -2.957 2.860" Properties=species:S:1:pos:R:3 pbc="T T T"
Zr 0.000 0.000 0.000
Tl 0.000 0.000 2.984
V 0.000 0.000 5.734
```

Below is a relaxed La2Os3 crystal, with properties calculated at the PBE level.

Summary:
DFT total energy   -87.8 eV/cell
D(E_F)   0.582 states/eV/atom
Calculated formation energy   -0.07 eV/atom
Space-group type   Fdd2
Energy above the lowest structure with this stoichiometry   0.000 eV per formula unit

extended XYZ file:
```
10
Lattice="0.000 7.739 2.873 5.190 0.000 2.873 5.190 7.739 0.000" Properties=species:S:1:pos:R:3 pbc="T T T"
La 6.059 4.570 2.873
La 6.917 8.439 4.310
La 4.321 10.909 2.873
La 3.464 7.039 4.310
Os 5.190 7.739 1.310
Os 6.819 9.622 1.629
Os 4.224 1.986 3.066
Os 3.562 5.856 1.629
Os 2.595 3.870 2.747
Os 6.157 13.492 3.066
```

Below is a relaxed Pr4Nd7Mg crystal, with properties calculated at the PBE level.

Summary:
DFT total energy   -51.6 eV/cell
D(E_F)   1.481 states/eV/atom
Calculated formation energy   0.21 eV/atom
Space-group type   C2/m
Energy above the lowest structure with this stoichiometry   1.569 eV per formula unit

extended XYZ file:
```
12
Lattice="6.095 -3.021 0.000 6.095 3.021 0.000 -5.902 0.000 11.675" Properties=species:S:1:pos:R:3 pbc="T T T"
Pr -0.013 0.000 3.193
Pr -1.044 0.000 10.052
Pr 7.333 0.000 1.622
Pr 6.303 0.000 8.482
Nd -2.951 0.000 5.837
Nd -4.153 0.000 11.490
Nd 0.185 0.000 6.782
Nd 3.598 0.000 2.641
Nd 2.691 0.000 9.034
Nd 6.104 0.000 4.892
Nd 10.442 0.000 0.185
Mg 3.145 0.000 5.837
```